1.
DFT (meta-GGA SCAN) results for a PBEsol-optimized structure of ZnCrP.

```
ZnCrP
1.0
0.000 2.097 6.187
1.565 0.000 6.187
1.565 2.097 0.000
Zn Cr P
1 1 1
Cartesian
0.000 0.000 0.000 Zn
1.565 2.097 8.181 Cr
1.565 2.097 3.598 P
```

Values from the calculation:
symmetry	Fmm2, No. 42
DFT total energy	-41.655	eV/cell

***

2.
DFT (meta-GGA SCAN) results for a PBEsol-optimized structure of RbZn3P.

```
RbZn3P
1.0
6.154 0.000 0.000
0.000 6.154 0.000
0.000 0.000 6.154
Rb Zn P
1 3 1
Cartesian
0.000 0.000 0.000 Rb
0.000 0.000 3.077 Zn
0.000 3.077 0.000 Zn
3.077 0.000 0.000 Zn
3.077 3.077 3.077 P
```

Values from the calculation:
symmetry	Pm-3m, No. 221
DFT total energy	-64.717	eV/cell
energy above the lowest structure with this stoichiometry	1033	meV/atom